[1]
Compound: TiMnZn3
Source: Alexandria via LeMat-Bulk
Functional: PBE
Structure: optimized geometry

- Energy relative to the lowest polymorph listed for this composition: 0.000 eV/atom
- Formation energy from the elements: 3.49 eV/f.u.
- Total energy: -3.478 eV/atom

Structure (CIF):
```
data_TiMnZn3
_chemical_formula_sum 'Ti1 Mn1 Zn3'
_symmetry_space_group_name_H-M 'P 1'
_symmetry_Int_Tables_number 1
_symmetry_space_group_name_Hall 'P 1'
_cell_length_a 4.542
_cell_length_b 4.542
_cell_length_c 4.542
_cell_angle_alpha 90.00
_cell_angle_beta 90.00
_cell_angle_gamma 90.00
loop_
_atom_site_label
_atom_site_type_symbol
_atom_site_fract_x
_atom_site_fract_y
_atom_site_fract_z
Ti1 Ti 0.000 0.000 0.000
Mn1 Mn 0.500 0.500 0.500
Zn1 Zn 0.000 0.500 0.500
Zn2 Zn 0.500 0.000 0.500
Zn3 Zn 0.500 0.500 0.000
```

[2]
Compound: CuC3
Source: Alexandria via LeMat-Bulk
Functional: PBE
Structure: optimized geometry

- Energy relative to the lowest polymorph listed for this composition: 0.409 eV/atom
- Formation energy from the elements: 4.04 eV/f.u.
- Total energy: -6.932 eV/atom

Structure (CIF):
```
data_CuC3
_chemical_formula_sum 'Cu4 C12'
_symmetry_space_group_name_H-M 'P 1'
_symmetry_Int_Tables_number 1
_symmetry_space_group_name_Hall 'P 1'
_cell_length_a 5.067
_cell_length_b 5.551
_cell_length_c 6.097
_cell_angle_alpha 90.00
_cell_angle_beta 90.00
_cell_angle_gamma 90.00
loop_
_atom_site_label
_atom_site_type_symbol
_atom_site_fract_x
_atom_site_fract_y
_atom_site_fract_z
Cu1 Cu 0.143 0.250 0.107
Cu2 Cu 0.357 0.750 0.607
Cu3 Cu 0.643 0.250 0.393
Cu4 Cu 0.857 0.750 0.893
C1 C 0.128 0.034 0.497
C2 C 0.128 0.466 0.497
C3 C 0.241 0.750 0.966
C4 C 0.259 0.250 0.466
C5 C 0.372 0.534 0.997
C6 C 0.372 0.966 0.997
C7 C 0.628 0.034 0.003
C8 C 0.628 0.466 0.003
C9 C 0.741 0.750 0.534
C10 C 0.759 0.250 0.034
C11 C 0.872 0.534 0.503
C12 C 0.872 0.966 0.503
```

[3]
Compound: Li2Pm3TmTe6
Source: Alexandria via LeMat-Bulk
Functional: PBE
Structure: optimized geometry

- Uncorrected formation energy: -1.324 eV per atom
- Total energy: -4.774 eV/atom

Structure (CIF):
```
data_Li2Pm3TmTe6
_chemical_formula_sum 'Li2 Pm3 Tm1 Te6'
_symmetry_space_group_name_H-M 'P 1'
_symmetry_Int_Tables_number 1
_symmetry_space_group_name_Hall 'P 1'
_cell_length_a 9.800
_cell_length_b 9.800
_cell_length_c 8.791
_cell_angle_alpha 103.12
_cell_angle_beta 103.12
_cell_angle_gamma 25.77
loop_
_atom_site_label
_atom_site_type_symbol
_atom_site_fract_x
_atom_site_fract_y
_atom_site_fract_z
Li1 Li 0.176 0.176 0.352
Li2 Li 0.824 0.824 0.648
Pm1 Pm 0.167 0.167 0.834
Pm2 Pm 0.500 0.500 0.500
Pm3 Pm 0.833 0.833 0.166
Tm1 Tm 0.500 0.500 0.000
Te1 Te 0.005 0.005 0.244
Te2 Te 0.331 0.331 0.423
Te3 Te 0.337 0.337 0.904
Te4 Te 0.663 0.663 0.096
Te5 Te 0.669 0.669 0.577
Te6 Te 0.995 0.995 0.756
```

Fermi-level density of states (states/eV/f.u.)
2.28, 0.65, 4.14